Record 1
## GaSn (GGA-PBE)

Data for a relaxed GaSn crystal.

Its raw total energy is -6.5 eV per formula unit. The crystal system is cubic.

The structure belongs to space group Pm-3n (No. 223); the cell edges are 7.692, 7.692 and 7.692 Å and the angles 90.00°, 90.00° and 90.00°. The distinct sites, in fractional coordinates, are Ga at (0.000, 0.250, 0.500) and Sn at (0.000, 0.500, 0.250).

***

Record 2
## Ho10Sn4C3 (GGA-PBE)

Data for a relaxed Ho10Sn4C3 crystal.

Its raw total energy is -100.7 eV per formula unit. The crystal system is tetragonal.

The structure belongs to space group I4/mmm (No. 139); the cell edges are 4.835, 4.835 and 35.123 Å and the angles 90.00°, 90.00° and 90.00°. The distinct sites, in fractional coordinates, are Ho at (0.000, 0.000, 0.069), Ho at (0.000, 0.000, 0.210), Ho at (0.000, 0.500, 0.000), Ho at (0.000, 0.500, 0.138), Sn at (0.000, 0.000, 0.300), Sn at (0.000, 0.000, 0.431), C at (0.000, 0.000, 0.000) and C at (0.000, 0.000, 0.140).

***

Record 3
## HfGaCuRe2 (GGA-PBE)

Data for a relaxed HfGaCuRe2 crystal.

Its raw total energy is -35.4 eV per formula unit. The crystal system is tetragonal.

The structure belongs to space group P4/mmm (No. 123); the cell edges are 4.526, 4.526 and 4.587 Å and the angles 90.00°, 90.00° and 90.00°. The distinct sites, in fractional coordinates, are Hf at (0.000, 0.000, 0.000), Ga at (0.500, 0.500, 0.000), Cu at (0.000, 0.000, 0.500) and Re at (0.000, 0.500, 0.500).

***

Record 4
## Ta3CuPb (GGA-PBE)

Data for a relaxed Ta3CuPb crystal.

The excess energy over the best structure of this formula in the dataset comes out at 7.732 eV per formula unit. Its raw total energy is -30.4 eV per formula unit. The crystal system is cubic.

The structure belongs to space group Pm-3m (No. 221); the cell edges are 5.101, 5.101 and 5.101 Å and the angles 90.00°, 90.00° and 90.00°. The distinct sites, in fractional coordinates, are Ta at (0.000, 0.000, 0.500), Cu at (0.500, 0.500, 0.500) and Pb at (0.000, 0.000, 0.000).

***

Record 5
## ZnGeW2 (GGA-PBE)

Data for a relaxed ZnGeW2 crystal.

The excess energy over the best structure of this formula in the dataset comes out at 0.000 eV per formula unit. Its raw total energy is -29.7 eV per formula unit. The crystal system is cubic.

The structure belongs to space group Fm-3m (No. 225); the cell edges are 6.225, 6.225 and 6.225 Å and the angles 90.00°, 90.00° and 90.00°. The distinct sites, in fractional coordinates, are Zn at (0.000, 0.000, 0.000), Ge at (0.000, 0.000, 0.500) and W at (0.250, 0.250, 0.250).

***

Record 6
## AlIn2Ga5 (GGA-PBE)

Data for a relaxed AlIn2Ga5 crystal.

Its raw total energy is -23.9 eV per formula unit. The crystal system is triclinic.

The structure belongs to space group P-1 (No. 2); the cell edges are 4.660, 5.986 and 6.492 Å and the angles 83.42°, 75.39° and 74.87°. The distinct sites, in fractional coordinates, are Al at (0.000, 0.000, 0.000), In at (0.245, 0.509, 0.750), Ga at (0.122, 0.781, 0.366), Ga at (0.391, 0.211, 0.121) and Ga at (0.500, 0.000, 0.500).

***

Record 7
## Tb13Al2 (GGA-PBE)

Data for a relaxed Tb13Al2 crystal.

Its raw total energy is -68.0 eV per formula unit. The crystal system is triclinic.

The structure belongs to space group P-1 (No. 2); the cell edges are 6.673, 8.457 and 9.113 Å and the angles 63.66°, 89.18° and 80.24°. The distinct sites, in fractional coordinates, are Tb at (0.000, 0.000, 0.000), Tb at (0.035, 0.499, 0.704), Tb at (0.230, 0.012, 0.569), Tb at (0.249, 0.207, 0.153), Tb at (0.282, 0.652, 0.956), Tb at (0.446, 0.169, 0.815), Tb at (0.471, 0.400, 0.379) and Al at (0.163, 0.778, 0.363).

***

Record 8
## Pm5Hg2O2 (GGA-PBE)

Data for a relaxed Pm5Hg2O2 crystal.

Its raw total energy is -47.2 eV per formula unit. The crystal system is orthorhombic. The uncorrected formation energy is -1.438 eV per atom.

The structure belongs to space group Ima2 (No. 46); the cell edges are 18.424, 7.062 and 7.036 Å and the angles 90.00°, 90.00° and 90.00°. The distinct sites, in fractional coordinates, are Pm at (0.020, 0.250, 0.000), Pm at (0.137, 0.590, 0.251), Pm at (0.250, 0.248, 0.499), Hg at (0.129, 0.019, 0.249), O at (0.000, 0.000, 0.750) and O at (0.250, 0.029, 0.750).

***

Record 9
## Y2Cu3 (GGA-PBE)

Data for a relaxed Y2Cu3 crystal.

Its raw total energy is -26.4 eV per formula unit. The crystal system is orthorhombic.

The structure belongs to space group Cmcm (No. 63); the cell edges are 3.665, 25.449 and 4.282 Å and the angles 90.00°, 90.00° and 90.00°. The distinct sites, in fractional coordinates, are Y at (0.000, 0.071, 0.250), Y at (0.000, 0.204, 0.750), Cu at (0.000, 0.329, 0.750), Cu at (0.000, 0.383, 0.250) and Cu at (0.000, 0.477, 0.250).

***

Record 10
## BaMg14Mn (GGA-PBE)

Data for a relaxed BaMg14Mn crystal.

The excess energy over the best structure of this formula in the dataset comes out at 0.000 eV per formula unit. Its raw total energy is -31.4 eV per formula unit. The crystal system is orthorhombic.

The structure belongs to space group Amm2 (No. 38); the cell edges are 10.483, 6.352 and 11.799 Å and the angles 90.00°, 90.00° and 90.00°. The distinct sites, in fractional coordinates, are Ba at (0.000, 0.000, 0.000), Mg at (0.000, 0.250, 0.245), Mg at (0.228, 0.000, 0.624), Mg at (0.256, 0.245, 0.382), Mg at (0.272, 0.000, 0.145), Mg at (0.500, 0.000, 0.475), Mg at (0.500, 0.000, 0.972), Mg at (0.500, 0.241, 0.725) and Mn at (0.000, 0.000, 0.453).

***

Record 11
## Tb3AgSb (GGA-PBE)

Data for a relaxed Tb3AgSb crystal.

Its raw total energy is -22.9 eV per formula unit. The crystal system is orthorhombic. The uncorrected formation energy is -0.404 eV per atom.

The structure belongs to space group Pmma (No. 51); the cell edges are 6.391, 5.313 and 8.806 Å and the angles 90.00°, 90.00° and 90.00°. The distinct sites, in fractional coordinates, are Tb at (0.000, 0.000, 0.000), Tb at (0.250, 0.000, 0.356), Tb at (0.250, 0.500, 0.768), Ag at (0.250, 0.000, 0.685) and Sb at (0.250, 0.500, 0.142).

***

Record 12
## ZrTiAs2 (GGA-PBE)

Data for a relaxed ZrTiAs2 crystal.

The excess energy over the best structure of this formula in the dataset comes out at 1.173 eV per formula unit. Its raw total energy is -28.4 eV per formula unit. The crystal system is cubic.

The structure belongs to space group Fm-3m (No. 225); the cell edges are 6.582, 6.582 and 6.582 Å and the angles 90.00°, 90.00° and 90.00°. The distinct sites, in fractional coordinates, are Zr at (0.000, 0.000, 0.000), Ti at (0.000, 0.000, 0.500) and As at (0.250, 0.250, 0.250).